Material: ZrMn2Ni9
Method: DFT, PBE-GGA
State: relaxed

Summary:
* energy of formation from the pure elements: -0.194 eV/atom
* D(E_F): 10.8 states/eV per cell
* total DFT energy (no corrections): -81.2 eV per cell

```
12
Lattice="3.6498 0.0000 0.0000 0.0000 3.6498 0.0000 0.0000 0.0000 10.8131" Properties=species:S:1:pos:R:3 pbc="T T T"
Ni 1.8249 0.0000 1.9279
Ni 0.0000 1.8249 5.4066
Ni 1.8249 1.8249 0.0000
Ni 0.0000 1.8249 1.9279
Ni 1.8249 1.8249 3.6528
Ni 1.8249 0.0000 8.8852
Ni 0.0000 1.8249 8.8852
Ni 1.8249 1.8249 7.1604
Ni 1.8249 0.0000 5.4066
Zr 0.0000 0.0000 0.0000
Mn 0.0000 0.0000 7.1312
Mn 0.0000 0.0000 3.6819
```



Material: PtCN2F
Method: DFT, PBE-GGA
State: relaxed

Summary:
* D(E_F): 2.5 states/eV per cell
* total DFT energy (no corrections): -24.0 eV per cell
* energy relative to the elements, uncorrected: 1960.6 meV/atom

```
5
Lattice="-2.1333 1.4336 -2.5628 -0.0381 -3.1810 -1.7477 -2.6424 -0.9002 1.6960" Properties=species:S:1:pos:R:3 pbc="T T T"
N -0.0190 -1.5905 -0.8739
N -1.0667 0.7168 -1.2814
Pt -2.4069 -1.3238 -1.3073
C 0.0000 0.0000 0.0000
F -1.3212 -0.4501 0.8480
```



Material: AlZnRu2
Method: DFT, PBE-GGA
State: relaxed

Summary:
* energy of formation from the pure elements: -0.128 eV/atom
* D(E_F): 2.0 states/eV per cell
* total DFT energy (no corrections): -24.1 eV per cell

```
4
Lattice="2.7803 0.0000 0.0000 0.0000 2.7803 0.0000 0.0000 0.0000 7.5137" Properties=species:S:1:pos:R:3 pbc="T T T"
Zn 0.0000 0.0000 3.6599
Ru 0.0000 0.0000 0.0488
Ru 1.3902 1.3902 1.7676
Al 1.3902 1.3902 5.7942
```



Material: Dy8Sn2Te3
Method: DFT, PBE-GGA
State: relaxed

Summary:
* D(E_F): 10.9 states/eV per cell
* total DFT energy (no corrections): -62.2 eV per cell
* energy relative to the elements, uncorrected: -611.8 meV/atom

```
13
Lattice="6.7331 0.0000 0.9103 0.0000 8.3669 0.0000 -1.8010 -4.1834 7.0730" Properties=species:S:1:pos:R:3 pbc="T T T"
Dy 2.8440 1.7516 5.9415
Dy -0.2276 4.1834 4.8541
Dy 2.8440 -1.7516 5.9415
Dy 2.0881 5.9351 2.0418
Dy -0.5731 0.0000 5.8945
Dy 2.0881 2.4318 2.0418
Dy 5.1597 0.0000 3.1291
Dy 5.5052 4.1834 2.0888
Te 0.0000 6.6628 0.0000
Te 3.3666 0.0000 0.4552
Te 0.0000 1.7041 0.0000
Sn 1.4569 0.0000 3.7625
Sn 3.4752 4.1834 4.2208
```



Material: TeS4O2
Method: DFT, PBE-GGA
State: relaxed

Summary:
* D(E_F): 6.9 states/eV per cell
* total DFT energy (no corrections): -27.6 eV per cell
* energy relative to the elements, uncorrected: 282.9 meV/atom

```
7
Lattice="5.0534 0.0000 0.0000 0.0000 5.0534 0.0000 2.5267 2.5267 8.8060" Properties=species:S:1:pos:R:3 pbc="T T T"
O 2.5267 2.5267 3.2281
O 5.0534 5.0534 5.5779
S 2.5267 0.0000 0.0000
S 5.0534 5.0534 4.0776
S 2.5267 2.5267 4.7284
S 0.0000 2.5267 0.0000
Te 0.0000 0.0000 0.0000
```



Material: ScTePtO2
Method: DFT, PBE-GGA
State: relaxed

Summary:
* D(E_F): 4.7 states/eV per cell
* total DFT energy (no corrections): -27.3 eV per cell
* energy relative to the elements, uncorrected: -381.8 meV/atom

```
5
Lattice="4.1055 0.0000 0.0000 0.0000 5.2924 0.0000 0.0000 0.0000 4.1055" Properties=species:S:1:pos:R:3 pbc="T T T"
O 0.0000 0.0000 2.0527
O 2.0527 0.0000 0.0000
Te 0.0000 2.6462 0.0000
Pt 0.0000 0.0000 0.0000
Sc 2.0527 2.6462 2.0527
```



Material: NbCdPdRuI
Method: DFT, PBE-GGA
State: relaxed

Summary:
* D(E_F): 5.6 states/eV per cell
* total DFT energy (no corrections): -52.9 eV per cell
* energy relative to the elements, uncorrected: 109.8 meV/atom

```
10
Lattice="7.8783 0.0000 0.0027 0.0000 3.6505 0.0000 -2.0742 0.0000 8.8647" Properties=species:S:1:pos:R:3 pbc="T T T"
Nb 6.3656 0.0000 5.0900
Nb 7.4027 1.8252 0.6577
Pd 5.9527 1.8252 3.0574
Pd 4.9156 0.0000 7.4898
Ru 5.8239 0.0000 1.0872
Ru 4.7868 1.8252 5.5196
Cd 3.8014 0.0000 3.5182
Cd 2.7643 1.8252 7.9505
I 1.8004 0.0000 1.2958
I 0.7633 1.8252 5.7282
```



Material: Ba3SmIn2O8
Method: DFT, PBE-GGA
State: relaxed

Summary:
* D(E_F): 14.5 states/eV per cell
* total DFT energy (no corrections): -85.7 eV per cell
* energy relative to the elements, uncorrected: -2148.2 meV/atom

```
14
Lattice="-3.8937 0.3586 -4.8971 1.3468 -5.5725 2.5306 -6.1213 0.7560 4.9225" Properties=species:S:1:pos:R:3 pbc="T T T"
Sm -3.0607 0.3780 2.4612
In -1.5869 -3.4489 1.0092
In -7.0813 -1.0090 1.5469
Ba 0.0000 0.0000 0.0000
Ba -4.3881 -1.3416 -0.6188
Ba -4.2800 -3.1163 3.1749
O -6.5115 -2.9149 0.9543
O -7.1898 -0.1086 -0.3201
O -2.5077 -1.5739 -2.1310
O -6.1605 -2.8840 4.6871
O -3.4392 -4.1687 0.4100
O -1.4783 -4.3493 2.8762
O -2.1566 -1.5429 1.6018
O -5.2289 -0.2892 2.1460
```



Material: BePtNF2
Method: DFT, PBE-GGA
State: relaxed

Summary:
* D(E_F): 1.9 states/eV per cell
* total DFT energy (no corrections): -26.8 eV per cell
* energy relative to the elements, uncorrected: -986.4 meV/atom

```
5
Lattice="-3.0111 0.2773 0.5534 -0.5264 -2.5931 -1.5647 0.7390 -3.6933 5.8721" Properties=species:S:1:pos:R:3 pbc="T T T"
Pt -1.3992 -3.0045 2.4304
F -1.5055 0.1387 0.2767
F -0.2632 -1.2966 -0.7824
Be 0.0000 0.0000 0.0000
N 0.3695 -1.8467 2.9360
```



Material: SmGd2Cd
Method: DFT, PBE-GGA
State: relaxed

Summary:
* energy of formation from the pure elements: -0.151 eV/atom
* D(E_F): 5.5 states/eV per cell
* total DFT energy (no corrections): -34.4 eV per cell

```
4
Lattice="3.6252 0.0000 0.0000 0.0000 3.6252 0.0000 0.0000 0.0000 9.1825" Properties=species:S:1:pos:R:3 pbc="T T T"
Sm 1.8126 1.8126 4.5913
Cd 1.8126 1.8126 0.0000
Gd 0.0000 0.0000 7.1176
Gd 0.0000 0.0000 2.0649
```



Material: Ag4Ru3
Method: DFT, PBE-GGA
State: relaxed

Summary:
* energy of formation from the pure elements: 0.366 eV/atom
* D(E_F): 7.2 states/eV per cell
* total DFT energy (no corrections): -36.7 eV per cell

```
7
Lattice="-6.6594 -0.9030 13.1425 -9.8333 0.0501 11.0087 7.8840 -1.4850 -12.3905" Properties=species:S:1:pos:R:3 pbc="T T T"
Ag -9.4360 -0.4879 13.8177
Ag -14.0522 -0.7266 20.5775
Ag -2.4404 -0.1262 3.5737
Ag -7.0567 -0.3649 10.3335
Ru -11.9090 -0.6158 17.4391
Ru 0.0000 0.0000 0.0000
Ru -4.5837 -0.2370 6.7121
```



Material: Hg2RhAu
Method: DFT, PBE-GGA
State: relaxed

Summary:
* energy of formation from the pure elements: 0.179 eV/atom
* D(E_F): 2.0 states/eV per cell
* total DFT energy (no corrections): -10.5 eV per cell

```
4
Lattice="1.0915 -1.0860 4.9599 -4.3612 -0.6457 2.7448 1.6608 -2.0155 -4.4889" Properties=species:S:1:pos:R:3 pbc="T T T"
Hg 0.0000 0.0000 0.0000
Hg -2.1676 -1.7635 1.0541
Au 0.5587 -1.9837 2.1617
Rh -1.6348 -0.8658 3.8524
```